No. 1
A plane-wave DFT calculation with PBE was carried out for a relaxed structure of LaBeGePt3.

Calculated values
energy of formation from the pure elements = -4.866 eV/f.u.
E_tot = -6.043 eV/atom
N(E_F) = 0.323 states/eV per atom

Unit cell a=5.6576 b=11.7365 c=6.7358 alpha=90.00 beta=90.00 gamma=90.00
Closest atoms and distances in Å follow each position.
Space group Cmcm (No. 63)
One atom of each set of equivalent atoms:
La1 0.0000 0.2174 0.2500 (multiplicity 4)  2 Pt 2.86, 1 Be 3.08
Be1 0.0000 0.4799 0.2500 (multiplicity 4)  5 Pt 2.21-2.34
Ge1 0.0000 0.1135 0.7500 (multiplicity 4)  5 Pt 2.43-2.57
Pt1 0.0000 0.3206 0.7500 (multiplicity 4)  1 Be 2.34, 1 Ge 2.43
Pt2 0.2503 0.0000 0.0000 (multiplicity 8)  2 Be 2.21



No. 2
A plane-wave DFT calculation with PBE was carried out for a relaxed structure of TaBeAg.

Calculated values
energy relative to the lowest polymorph listed for this composition = 477 meV/atom
energy of formation from the pure elements = 1.443 eV/f.u.
E_tot = -5.662 eV/atom
N(E_F) = 0.473 states/eV per atom

Unit cell a=4.4431 b=4.4431 c=5.2584 alpha=90.00 beta=90.00 gamma=120.00
Closest atoms and distances in Å follow each position.
Space group P6_3/mmc (No. 194)
One atom of each set of equivalent atoms:
Ta1 0.3333 0.6667 0.2500 (multiplicity 2)  5 Be 2.57-2.63
Be1 0.3333 0.6667 0.7500 (multiplicity 2)  5 Ta 2.57-2.63
Ag1 0.0000 0.0000 0.0000 (multiplicity 2)  2 Ag 2.63, 6 Ta 2.88, 6 Be 2.88



No. 3
A plane-wave DFT calculation with PBE was carried out for a relaxed structure of NiAg3W.

Calculated values
energy relative to the lowest polymorph listed for this composition = 0 meV/atom
energy of formation from the pure elements = 8.610 eV/f.u.
E_tot = -3.736 eV/atom
N(E_F) = 2.869 states/eV per atom

Unit cell a=4.6068 b=4.6068 c=4.6068 alpha=90.00 beta=90.00 gamma=90.00
Closest atoms and distances in Å follow each position.
Space group Pm-3m (No. 221)
One atom of each set of equivalent atoms:
Ni1 0.0000 0.0000 0.0000 (multiplicity 1)  6 Ag 2.30
Ag1 0.0000 0.0000 0.5000 (multiplicity 3)  2 Ni 2.30
W1 0.5000 0.5000 0.5000 (multiplicity 1)  12 Ag 3.26



no.,total magnetic moment (μB per formula unit)
1,0.00
2,0.00
3,0.00